# UTaV2O6, relaxed, DFT PBE+U
# Electronic total energy (eV per atom): -9.13
# Calculated volume (Å³/atom): 12.71
data_UTaV2O6
_chemical_formula_sum 'U3 Ta3 V6 O18'
_space_group_name_H-M_alt 'R 3'
_space_group_IT_number 146
_space_group_name_Hall 'R 3'
_cell_length_a 5.4177
_cell_length_b 5.4177
_cell_length_c 15.0016
_cell_angle_alpha 90.00
_cell_angle_beta 90.00
_cell_angle_gamma 120.00
loop_
_atom_site_label
_atom_site_type_symbol
_atom_site_fract_x
_atom_site_fract_y
_atom_site_fract_z
U1 U 0.0000 0.0000 0.0000
Ta1 Ta 0.0000 0.0000 0.4958
V1 V 0.0000 0.0000 0.3006
V2 V 0.0000 0.0000 0.8017
O1 O 0.0083 0.2943 0.4020
O2 O 0.0219 0.6855 0.5609